Entry 1:
Here is BeCr2Rh after structural relaxation from the Alexandria database. Energies are from PBE.

Geometry as POSCAR:
```
BeCr2Rh
1.0
4.795 0.002 0.007
-1.971 4.224 -0.004
0.852 0.685 2.305
Be Cr Rh
1 2 1
direct
0.500 0.500 0.000
0.000 0.000 0.000
0.500 0.000 0.500
0.000 0.500 0.500
```

***

Entry 2:
Here is BeCr2Rh after structural relaxation from the Alexandria database. Energies are from PBE.

Geometry as POSCAR:
```
BeCr2Rh
1.0
2.898 0.000 0.000
0.000 2.898 0.000
0.000 0.000 5.535
Cr Rh Be
2 1 1
direct
0.000 0.000 0.999
0.500 0.500 0.219
0.000 0.000 0.533
0.500 0.500 0.749
```

***

Entry 3:
Here is BeCr2Rh after structural relaxation from the Alexandria database. Energies are from PBE.

Geometry as POSCAR:
```
BeCr2Rh
1.0
4.134 0.000 0.000
0.000 3.327 0.000
0.000 0.000 3.327
Cr Rh Be
2 1 1
direct
0.000 0.000 0.000
0.000 0.500 0.500
0.500 0.500 0.000
0.500 0.000 0.500
```

***

Entry 4:
Here is BeCrRh after structural relaxation from the Alexandria database. Energies are from PBE.

Geometry as POSCAR:
```
BeCrRh
1.0
-0.695 1.283 3.846
-4.796 -2.851 0.084
4.729 -2.446 1.670
Be Rh Cr
3 3 3
direct
0.500 0.000 0.777
0.500 0.777 0.000
0.500 0.223 0.223
0.500 0.667 0.333
0.500 0.333 0.667
0.000 0.000 0.000
0.000 0.465 0.000
0.000 0.000 0.465
0.000 0.535 0.535
```

***

Magnetization across the listed records, respectively: 0.00, 0.45, 0.00, 2.79 μB/f.u..
Offset from the most stable computed form across the listed records, respectively: 204, 12, 127, 229 meV per atom.